Entry 1:
CuRe2PbO8 PBE-GGA optimized geometry; Fermi-level density of states = 0.12 states/eV per atom; formation energy without anion corrections = -1399 kJ/mol of formula units; E = -0.5320 Ry/atom
1.0
2.586 1.493 8.933
-2.586 1.493 8.933
0.000 -2.986 8.933
Cu Re Pb O
1 2 1 8
Cartesian
0.000 0.000 0.000
0.000 0.000 6.921
0.000 0.000 19.879
0.000 0.000 13.400
-0.950 -1.684 10.334
0.000 0.000 5.121
-0.983 -1.665 16.466
-0.983 1.665 10.334
-0.950 1.684 16.466
1.933 0.019 10.334
0.000 0.000 21.679
1.933 -0.019 16.466

***

Entry 2:
WSeCl2 PBE-GGA optimized geometry; Fermi-level density of states = 0.98 states/eV per atom; formation energy without anion corrections = 465 kJ/mol of formula units; E = -0.2814 Ry/atom
1.0
4.864 0.000 0.000
0.000 4.864 0.000
0.000 0.000 2.994
W Se Cl
1 1 2
Cartesian
0.000 0.000 0.000
2.432 2.432 0.000
0.000 2.432 1.497
2.432 0.000 1.497

***

Entry 3:
BiAsCl PBE-GGA optimized geometry; formation energy without anion corrections = -126 kJ/mol of formula units; E = -0.2863 Ry/atom
1.0
8.650 0.000 0.000
0.000 5.425 0.000
-0.591 0.000 7.617
Bi As Cl
4 4 4
Cartesian
1.890 0.280 1.291
1.594 2.433 5.100
6.464 2.993 2.517
6.169 5.145 6.326
0.000 1.043 3.247
-0.296 1.670 7.056
8.355 3.756 0.561
8.059 4.382 4.369
2.949 2.744 2.122
2.653 5.394 5.930
5.405 0.032 1.687
5.110 2.681 5.495

***

Entry 4:
Cu2Se PBE-GGA optimized geometry; Fermi-level density of states = 0.48 states/eV per atom; formation energy without anion corrections = 24 kJ/mol of formula units; E = -0.2800 Ry/atom
1.0
-2.564 2.564 3.589
2.564 -2.564 3.589
2.564 2.564 -3.589
Cu Se
4 2
Cartesian
3.543 0.979 0.000
0.979 1.585 0.000
1.585 0.979 3.589
-0.979 1.585 3.589
0.000 0.000 1.794
0.000 0.000 5.383

***

Entry 5:
U2MnSi PBE-GGA optimized geometry; Fermi-level density of states = 1.87 states/eV per atom; formation energy without anion corrections = 184 kJ/mol of formula units; E = -0.6479 Ry/atom
1.0
1.446 0.835 9.914
-1.446 0.835 9.914
0.000 -1.670 9.914
U Mn Si
2 1 1
Cartesian
0.000 0.000 2.804
0.000 0.000 26.938
0.000 0.000 14.871
0.000 0.000 0.000

***

Entry 6:
Re2HPb PBE-GGA optimized geometry; Fermi-level density of states = 1.11 states/eV per atom; E = -0.4551 Ry/atom
1.0
0.000 3.134 3.134
3.134 0.000 3.134
3.134 3.134 0.000
Re H Pb
2 1 1
Cartesian
1.567 1.567 1.567
4.701 4.701 4.701
0.000 0.000 0.000
3.134 3.134 3.134